Entry 1:
! PBEsol TiRu3Pb, optimized geometry; values from VASP
&SYSTEM
  ibrav = 0, nat = 5, ntyp = 3
/
ATOMIC_SPECIES
Ti 47.87 Ti.upf
Ru 101.07 Ru.upf
Pb 207.20 Pb.upf
CELL_PARAMETERS angstrom
4.810 0.000 0.000
0.000 4.810 0.000
0.000 0.000 4.810
ATOMIC_POSITIONS crystal
Ti 0.000 0.000 0.000
Ru 0.000 0.500 0.500
Ru 0.500 0.000 0.500
Ru 0.500 0.500 0.000
Pb 0.500 0.500 0.500
! spin magnetization: 1.88 Bohr magnetons per cell
! energy of formation: 2194 meV/atom

=====

Entry 2:
! PBEsol YPd2I, optimized geometry; values from VASP
&SYSTEM
  ibrav = 0, nat = 4, ntyp = 3
/
ATOMIC_SPECIES
Y 88.91 Y.upf
Pd 106.42 Pd.upf
I 126.90 I.upf
CELL_PARAMETERS angstrom
0.000 3.446 3.446
3.446 0.000 3.446
3.446 3.446 0.000
ATOMIC_POSITIONS crystal
Y 0.000 0.000 0.000
Pd 0.250 0.250 0.250
Pd 0.750 0.750 0.750
I 0.500 0.500 0.500
! spin magnetization: 0.00 Bohr magnetons per cell
! calculated total energy: -5.503 eV per atom

=====

Entry 3:
! PBEsol Tl2FeAs, optimized geometry; values from VASP
&SYSTEM
  ibrav = 0, nat = 4, ntyp = 3
/
ATOMIC_SPECIES
Tl 204.38 Tl.upf
Fe 55.84 Fe.upf
As 74.92 As.upf
CELL_PARAMETERS angstrom
0.000 3.492 3.492
3.492 0.000 3.492
3.492 3.492 0.000
ATOMIC_POSITIONS crystal
Tl 0.000 0.000 0.000
Tl 0.250 0.250 0.250
Fe 0.500 0.500 0.500
As 0.750 0.750 0.750
! polymorph energy (0 for the lowest one): 479 meV/atom
! spin magnetization: 2.93 Bohr magnetons per cell
! energy of formation: 624 meV/atom